[1]
Entry from Alexandria: a relaxed TlCoOF2 crystal (PBE+U).

Properties
Density of states at the Fermi level   4.08 states/eV per cell

Cell lengths 4.531, 4.531, 4.180 Å; angles 90.00, 90.00, 90.00 degrees
Last column: magnetic moment on the atom in μB.
Fractional coordinates of all 5 atoms:
O 0.000 0.000 0.500  0.00
F 0.500 0.000 0.000  0.00
F 0.000 0.500 0.000  0.00
Co 0.500 0.500 0.500  2.22
Tl 0.000 0.000 0.000  -0.01

***

[2]
Entry from Alexandria: a relaxed TlCoO2F crystal (PBE+U).

Properties
Density of states at the Fermi level   2.74 states/eV per cell

Cell lengths 3.855, 3.855, 4.143 Å; angles 90.00, 90.00, 90.00 degrees
Last column: magnetic moment on the atom in μB.
Fractional coordinates of all 5 atoms:
O 0.000 0.500 0.000  0.09
Tl 0.500 0.500 0.500  -0.06
O 0.500 0.000 0.000  0.09
F 0.000 0.000 0.500  0.04
Co 0.000 0.000 0.000  2.50

***

[3]
Entry from Alexandria: a relaxed TlCoOF2 crystal (PBE+U).

Properties
Density of states at the Fermi level   0.37 states/eV per cell

Cell lengths 4.345, 4.345, 3.712 Å; angles 90.00, 90.00, 90.00 degrees
Last column: magnetic moment on the atom in μB.
Fractional coordinates of all 5 atoms:
F 0.000 0.500 0.000  0.10
Co 0.000 0.000 0.000  3.08
F 0.500 0.000 0.000  0.10
Tl 0.500 0.500 0.500  0.04
O 0.000 0.000 0.500  0.55

***

[4]
Entry from Alexandria: a relaxed TlCoO2F crystal (PBE+U).

Properties
Density of states at the Fermi level   3.10 states/eV per cell

Cell lengths 4.243, 4.243, 4.397 Å; angles 90.00, 90.00, 90.00 degrees
Last column: magnetic moment on the atom in μB.
Fractional coordinates of all 5 atoms:
O 0.500 0.000 0.000  0.03
Tl 0.000 0.000 0.000  0.00
Co 0.500 0.500 0.500  2.62
F 0.000 0.000 0.500  0.01
O 0.000 0.500 0.000  0.03

***

[5]
Entry from Alexandria: a relaxed UCoO4F crystal (PBE+U).

Cell lengths 6.499, 5.216, 8.336 Å; angles 90.00, 127.32, 90.00 degrees
Last column: magnetic moment on the atom in μB.
Fractional coordinates of all 14 atoms:
Co 0.143 0.250 0.578  2.98
F 0.061 0.250 0.996  0.01
O 0.042 0.992 0.369  0.22
U 0.247 0.750 0.307  0.22
U 0.753 0.250 0.693  0.22
O 0.539 0.750 0.587  0.02
O 0.508 0.750 0.245  0.18
O 0.461 0.250 0.413  0.02
O 0.042 0.508 0.369  0.22
O 0.492 0.250 0.755  0.18
Co 0.857 0.750 0.422  2.98
O 0.958 0.492 0.631  0.22
F 0.939 0.750 0.004  0.01
O 0.958 0.008 0.631  0.22

***

[6]
Entry from Alexandria: a relaxed VCoOF2 crystal (PBE+U).

Properties
Density of states at the Fermi level   4.22 states/eV per cell

Cell lengths 4.015, 4.015, 3.819 Å; angles 90.00, 90.00, 90.00 degrees
Last column: magnetic moment on the atom in μB.
Fractional coordinates of all 5 atoms:
O 0.000 0.000 0.500  0.25
Co 0.000 0.000 0.000  2.82
F 0.000 0.500 0.000  0.05
F 0.500 0.000 0.000  0.05
V 0.500 0.500 0.500  -1.13

***

[7]
Entry from Alexandria: a relaxed VCoOF2 crystal (PBE+U).

Properties
Density of states at the Fermi level   0.97 states/eV per cell

Cell lengths 4.077, 4.077, 3.798 Å; angles 90.00, 90.00, 90.00 degrees
Last column: magnetic moment on the atom in μB.
Fractional coordinates of all 5 atoms:
Co 0.500 0.500 0.500  1.95
F 0.500 0.000 0.000  0.02
F 0.000 0.500 0.000  0.02
O 0.000 0.000 0.500  -0.18
V 0.000 0.000 0.000  1.99

***

[8]
Entry from Alexandria: a relaxed VCoO2F crystal (PBE+U).

Properties
Density of states at the Fermi level   5.25 states/eV per cell

Cell lengths 3.788, 3.788, 3.934 Å; angles 90.00, 90.00, 90.00 degrees
Last column: magnetic moment on the atom in μB.
Fractional coordinates of all 5 atoms:
O 0.500 0.000 0.000  -0.01
O 0.000 0.500 0.000  -0.01
F 0.000 0.000 0.500  0.00
Co 0.500 0.500 0.500  -2.24
V 0.000 0.000 0.000  0.00

***

| no. | magnetic moment (μB per formula unit) | theoretical density (g cm⁻³) | calculated total energy (eV/atom) |
| --- | --- | --- | --- |
| 1 | 2.28 | 6.1 | -3.83 |
| 2 | 2.71 | 8.5 | -4.76 |
| 3 | 4.00 | 7.5 | -4.69 |
| 4 | 2.78 | 6.6 | -4.01 |
| 5 | 4.00 | 5.6 | -7.64 |
| 6 | 2.00 | 4.4 | -5.15 |
| 7 | 4.00 | 4.3 | -5.74 |
| 8 | 2.32 | 4.7 | -6.01 |